# 1
! PBE-GGA Li7Mg3Ag4, relaxed; values from VASP
&SYSTEM
  ibrav = 0, nat = 14, ntyp = 3
/
ATOMIC_SPECIES
Ag 107.87 Ag.upf
Li 6.94 Li.upf
Mg 24.30 Mg.upf
CELL_PARAMETERS angstrom
3.029 0.000 0.764
0.952 8.881 2.611
-0.812 -0.256 9.603
ATOMIC_POSITIONS crystal
Ag 0.130 0.036 0.703
Ag 0.351 0.566 0.733
Li 0.000 0.000 0.000
Mg 0.305 0.214 0.175
Li 0.493 0.262 0.753
Li 0.507 0.738 0.247
Li 0.323 0.828 0.527
Mg 0.695 0.786 0.825
Li 0.172 0.599 0.057
Mg 0.000 0.500 0.500
Ag 0.870 0.964 0.297
Li 0.677 0.172 0.473
Ag 0.649 0.434 0.267
Li 0.828 0.401 0.943
! D(E_F) = 5.323 states/eV per cell
! energy = -31.34 eV/f.u.
! energy of formation = -0.1252 eV per atom
! crystal system = monoclinic
! size of the total moment = 0.0 μB/f.u.

---

# 2
! PBE-GGA Tc5P4, relaxed; values from VASP
&SYSTEM
  ibrav = 0, nat = 9, ntyp = 2
/
ATOMIC_SPECIES
P 30.97 P.upf
Tc 98.00 Tc.upf
CELL_PARAMETERS angstrom
3.386 3.781 -4.853
-0.521 -3.852 5.849
-0.304 -5.659 -4.147
ATOMIC_POSITIONS crystal
P 0.000 0.722 0.722
P 0.000 0.278 0.278
P 0.278 0.000 0.278
Tc 0.340 0.340 0.680
Tc 0.000 0.000 0.000
Tc 0.660 0.660 0.320
Tc 0.340 0.660 0.000
Tc 0.660 0.340 0.000
P 0.722 0.000 0.722
! D(E_F) = 7.485 states/eV per cell
! energy = -73.21 eV/f.u.
! energy of formation = 0.0284 eV per atom
! crystal system = tetragonal
! energy relative to the lowest polymorph listed for this composition = 2.151 eV per formula unit
! size of the total moment = 0.0 μB/f.u.